ZnCdIn2Pt | PBE-GGA | optimized geometry

Unit cell a=5.2081 b=5.2081 c=4.9386 alpha=90.00 beta=90.00 gamma=90.00
Space group P4/mmm (No. 123)
One atom of each set of equivalent atoms:
1 Zn 0.0000 0.0000 0.0000
2 Cd 0.5000 0.5000 0.0000
3 In 0.0000 0.5000 0.5000
4 Pt 0.0000 0.0000 0.5000

DFT total energy = -2.86 eV/atom
N(E_F) = 0.316 states/eV/atom